Li2Cr2As2N, relaxed, DFT PBE-GGA; E = -44.3 eV/cell; E_form (uncorrected) = -3.6 eV/f.u.; total magnetization = 0.34 μB per atom; V = 98 Å³/cell
1.0
-1.921 1.921 6.622
1.921 -1.921 6.622
1.921 1.921 -6.622
Li Cr As N
2 2 2 1
Direct
0.167 0.167 0.000 Li
0.833 0.833 0.000 Li
0.000 0.500 0.500 Cr
0.500 0.000 0.500 Cr
0.368 0.368 0.000 As
0.632 0.632 0.000 As
0.000 0.000 0.000 N